MnSnGeAu2, optimized geometry, DFT PBE; total DFT energy (no corrections) = -4.06 eV per atom
1.0
-0.1178 -2.1911 -4.6351
3.6419 -3.2774 1.4566
-3.5964 -3.2690 1.6367
Ge Au Mn Sn
1 2 1 1
Cartesian
-0.0362 -4.3687 -0.7709
-1.7982 -1.6345 0.8184
-0.0589 -1.0955 -2.3176
1.8209 -1.6387 0.7283
0.0000 0.0000 0.0000

***

DyHo2In2, optimized geometry, DFT PBE; total DFT energy (no corrections) = -4.17 eV per atom
1.0
5.3411 0.0000 0.0000
0.0000 6.4896 0.0000
-2.6705 0.0000 7.9951
Ho Dy In
4 2 4
Cartesian
2.6705 5.0530 7.5801
2.6705 2.2631 4.8383
0.0000 1.8082 0.4150
0.0000 5.5079 3.1568
2.6705 3.7652 1.5625
0.0000 0.5204 6.4326
2.6705 0.4333 1.6349
2.6705 5.5813 4.5816
0.0000 2.3365 3.4135
0.0000 3.6781 6.3602

***

PmUIr, optimized geometry, DFT PBE; total DFT energy (no corrections) = -8.45 eV per atom
1.0
-0.3334 -0.9572 -5.6847
-2.9577 -0.9535 0.3340
-0.8078 8.1893 1.6011
U Pm Ir
2 2 2
Cartesian
-1.7156 -1.1564 -3.8694
-1.5755 -0.7543 -1.4813
-1.0445 2.1097 -3.2267
-3.0543 4.1689 -0.5228
-2.1257 1.4306 -0.1162
-1.9731 4.8481 -3.6333

***

The following calculated formation energy values (in kJ/mol of atoms) correspond, in order, to the records above: 78.1 -30.9 -14.6.